CsSc2SnS | GGA-PBE | relaxed

Values from the calculation:
Its raw total energy is -3.045 eV per atom.

Cell: 5.4692 5.4692 5.4786 Å, 90.00 90.00 90.00°
With the nearest neighbours (Å) after each atom.
Space group P4/mmm (No. 123)
Unique sites:
Cs (0.0000, 0.0000, 0.0000)  4 Sc 2.73, 2 S 2.74
Sc (0.0000, 0.5000, 0.0000)  2 Cs 2.73
Sn (0.5000, 0.5000, 0.5000)  4 S 3.87, 8 Sc 3.87
S (0.0000, 0.0000, 0.5000)  2 Cs 2.74

Cs2Sc2SnS6 | GGA-PBE | relaxed

Values from the calculation:
Its raw total energy is -5.293 eV per atom.

Cell: 6.5924 11.4408 8.5543 Å, 90.00 105.33 90.00°
With the nearest neighbours (Å) after each atom.
Space group C2/m (No. 12)
Unique sites:
Cs (0.0000, 0.1674, 0.0000)  6 S 3.48-3.50, 3 Cs 3.80-3.83
Sc (0.0000, 0.3323, 0.5000)  6 S 2.62-2.63
Sn (0.0000, 0.0000, 0.5000)  6 S 2.60-2.61
S (0.2258, 0.1652, 0.6725)  1 Sn 2.61, 2 Sc 2.62
S (0.2281, 0.5000, 0.6710)  1 Sn 2.60, 2 Sc 2.63

Cs4Tb3ScS8 | GGA-PBE | relaxed

Values from the calculation:
Its raw total energy is -5.328 eV per atom.

Cell: 8.1413 8.1413 24.1448 Å, 90.00 90.00 120.00°
With the nearest neighbours (Å) after each atom.
Space group R-3m (No. 166, hexagonal axes)
Unique sites:
Cs (0.0000, 0.0000, 0.0000)  6 S 3.55
Cs (0.0000, 0.5000, 0.0000)  6 S 3.46-3.47
Tb (0.0000, 0.5000, 0.5000)  6 S 2.78-2.79
Sc (0.0000, 0.0000, 0.5000)  6 S 2.68
S (0.0000, 0.0000, 0.2279)  3 Tb 2.78
S (0.0117, 0.5059, 0.2262)  1 Sc 2.68, 2 Tb 2.79

CsTbScS3 | GGA-PBE | relaxed

Values from the calculation:
Its raw total energy is -5.748 eV per atom.

Cell: 9.2992 4.2749 10.2569 Å, 90.00 111.22 90.00°
With the nearest neighbours (Å) after each atom.
Space group P2_1/m (No. 11)
Unique sites:
Cs (0.2196, 0.2500, 0.2301)  5 S 3.53-3.73
Tb (0.3376, 0.7500, 0.8674)  6 S 2.70-2.94
Sc (0.0887, 0.2500, 0.6112)  4 S 2.45-2.57
S (0.1318, 0.2500, 0.8613)  1 Sc 2.45
S (0.1927, 0.7500, 0.5602)  3 Sc 2.48-2.57
S (0.4774, 0.7500, 0.1482)  3 Tb 2.70-2.78

Cs2ScTeS4 | GGA-PBE | relaxed

Values from the calculation:
Its raw total energy is -4.394 eV per atom.

Cell: 6.8946 15.3730 24.1971 Å, 90.00 90.00 90.00°
With the nearest neighbours (Å) after each atom.
Space group Fddd (No. 70, origin choice 2)
Unique sites:
Cs (0.1250, 0.1250, 0.3038)  4 S 3.57-3.97
Sc (0.1250, 0.1250, 0.1250)  4 S 2.43
Te (0.1250, 0.1250, 0.6250)  4 S 2.67
S (0.0990, 0.2726, 0.4173)  1 Sc 2.43, 1 Te 2.67

CsThScS4 | GGA-PBE | relaxed

Values from the calculation:
Its raw total energy is -6.197 eV per atom.

Cell: 7.0651 7.0709 9.2208 Å, 90.00 101.86 90.00°
With the nearest neighbours (Å) after each atom.
Space group P2_1/m (No. 11)
Unique sites:
Cs (0.1676, 0.2500, 0.0780)  6 S 3.37-3.77
Th (0.1701, 0.7500, 0.4569)  6 S 2.78-2.86
Sc (0.3744, 0.2500, 0.6713)  4 S 2.38-2.48
S (0.1302, 0.0029, 0.6868)  1 Sc 2.48
S (0.2959, 0.7500, 0.1905)  1 Sc 2.41
S (0.4331, 0.2500, 0.4267)  1 Sc 2.38

Cs4Th3ScS8 | GGA-PBE | relaxed

Values from the calculation:
Its raw total energy is -5.712 eV per atom.

Cell: 8.2109 8.2109 24.4466 Å, 90.00 90.00 120.00°
With the nearest neighbours (Å) after each atom.
Space group R-3m (No. 166, hexagonal axes)
Unique sites:
Cs (0.0000, 0.0000, 0.0000)  6 S 3.57
Cs (0.0000, 0.5000, 0.0000)  6 S 3.43-3.47
Th (0.0000, 0.5000, 0.5000)  6 S 2.84-2.85
Sc (0.0000, 0.0000, 0.5000)  6 S 2.72
S (0.0000, 0.0000, 0.2317)  3 Th 2.85
S (0.0135, 0.5068, 0.2278)  1 Sc 2.72, 2 Th 2.84

Cs2Sc2TiS6 | GGA-PBE | relaxed

Values from the calculation:
Its raw total energy is -5.889 eV per atom.

Cell: 6.4582 11.1515 8.4776 Å, 90.00 105.35 90.00°
With the nearest neighbours (Å) after each atom.
Space group C2/m (No. 12)
Unique sites:
Cs (0.0000, 0.1684, 0.0000)  6 S 3.43-3.49, 3 Cs 3.71-3.76
Sc (0.0000, 0.3327, 0.5000)  6 S 2.60
Ti (0.0000, 0.0000, 0.5000)  6 S 2.48
S (0.2193, 0.1586, 0.6702)  1 Ti 2.48, 2 Sc 2.60
S (0.2392, 0.5000, 0.6688)  1 Ti 2.48, 2 Sc 2.60

CsScTiS4 | GGA-PBE | relaxed

Values from the calculation:
Its raw total energy is -6.015 eV per atom.

Cell: 6.4237 6.8270 9.4694 Å, 90.00 108.59 90.00°
With the nearest neighbours (Å) after each atom.
Space group P2_1/m (No. 11)
Unique sites:
Cs (0.2144, 0.2500, 0.4472)  2 S 3.32-3.54
Sc (0.3443, 0.7500, 0.0416)  6 S 2.60-2.68
Ti (0.1054, 0.2500, 0.8522)  4 S 2.19-2.31
S (0.0803, 0.2500, 0.0779)  1 Ti 2.19
S (0.2459, 0.7500, 0.2963)  1 Ti 2.25
S (0.3323, 0.0012, 0.8240)  1 Ti 2.31

CsScTiS2 | GGA-PBE | relaxed

Values from the calculation:
Its raw total energy is -5.054 eV per atom.

Cell: 4.9777 4.9777 4.9485 Å, 90.00 90.00 90.00°
With the nearest neighbours (Å) after each atom.
Space group P4/mmm (No. 123)
Unique sites:
Cs (0.0000, 0.0000, 0.0000)  8 S 3.51, 4 Sc 3.52
Sc (0.5000, 0.5000, 0.0000)  2 Ti 2.47
Ti (0.5000, 0.5000, 0.5000)  2 Sc 2.47, 4 S 2.49
S (0.0000, 0.5000, 0.5000)  2 Ti 2.49

Cs3Sc3TiS8 | GGA-PBE | relaxed

Values from the calculation:
Its raw total energy is -5.789 eV per atom.

Cell: 7.5529 7.5529 24.3832 Å, 90.00 90.00 120.00°
With the nearest neighbours (Å) after each atom.
Space group R-3m (No. 166, hexagonal axes)
Unique sites:
Cs (0.0000, 0.5000, 0.0000)  6 S 3.44, 4 Cs 3.78
Sc (0.0000, 0.5000, 0.5000)  6 S 2.59-2.62
Ti (0.0000, 0.0000, 0.5000)  6 S 2.50
S (0.0000, 0.0000, 0.2242)  3 Sc 2.59
S (0.0140, 0.5070, 0.2229)  1 Ti 2.50, 2 Sc 2.62

Cs2ScTlS4 | GGA-PBE | relaxed

Values from the calculation:
Its raw total energy is -4.490 eV per atom.

Cell: 6.2841 14.7570 25.2676 Å, 90.00 90.00 90.00°
With the nearest neighbours (Å) after each atom.
Space group Fddd (No. 70, origin choice 2)
Unique sites:
Cs (0.1250, 0.1250, 0.3039)  8 S 3.80-3.97
Sc (0.1250, 0.1250, 0.1250)  4 S 2.45
Tl (0.1250, 0.1250, 0.6250)  4 S 2.57
S (0.1100, 0.2776, 0.4274)  1 Sc 2.45, 1 Tl 2.57

Results for raw formation energy: 1.284, -1.371, -1.787, -1.715, -0.933, -1.752, -1.648, -1.613, -1.502, -0.387, -1.624, -1.126 (in eV/atom, following the order of the records).